An optimized crystal structure of Ca2Pm3SmSe6. Source: Alexandria, functional PBE-GGA.

The structure in extended XYZ format:
```
12
Lattice="3.610 -6.264 0.000 3.610 6.264 0.000 -2.418 0.000 6.905" Properties=species:S:1:pos:R:3 pbc="T T T"
Ca 3.610 4.173 0.000
Ca 3.610 -4.173 0.000
Pm -1.209 0.000 3.453
Pm 2.401 2.108 3.453
Pm 2.401 -2.108 3.453
Sm 3.610 0.000 0.000
Se -0.017 2.102 5.220
Se 1.185 0.000 1.708
Se -0.017 -2.102 5.220
Se 4.820 2.102 1.685
Se 3.617 0.000 5.198
Se 4.820 -2.102 1.685
```

Summary:
As for the symmetry: No. 12. As for the calculated total energy: -5.5338 eV/atom. For the total magnetic moment, the calculation gives 0.000 μB per cell.


An optimized crystal structure of Y3PtSe2. Source: Alexandria, functional PBE-GGA.

The structure in extended XYZ format:
```
24
Lattice="0.000 5.829 12.174 4.202 0.000 12.174 4.202 5.829 0.000" Properties=species:S:1:pos:R:3 pbc="T T T"
Y 3.098 1.362 7.027
Y 5.360 4.371 9.130
Y 3.205 1.362 11.234
Y 5.305 4.277 13.114
Y 7.461 7.286 15.217
Y 5.199 4.277 17.321
Y 3.205 7.380 7.027
Y 0.943 4.371 9.130
Y 3.098 7.380 11.234
Y 5.199 10.295 13.114
Y 3.043 7.286 15.217
Y 5.305 10.295 17.321
Pt 1.050 1.457 1.011
Pt 1.050 1.457 5.076
Pt 7.353 10.200 19.272
Pt 7.353 10.200 23.337
Se 3.151 4.371 3.102
Se 3.151 4.371 7.172
Se 5.252 7.286 9.189
Se 3.151 4.371 11.089
Se 5.252 7.286 13.258
Se 3.151 4.371 15.158
Se 5.252 7.286 17.176
Se 5.252 7.286 21.245
```

Summary:
As for the symmetry: No. 70. As for the calculated total energy: -6.9893 eV/atom. For the total magnetic moment, the calculation gives 0.000 μB per cell.


An optimized crystal structure of Cs2MgBr3Cl. Source: Alexandria, functional PBE-GGA.

The structure in extended XYZ format:
```
7
Lattice="-2.604 2.744 8.973 2.604 -2.744 8.973 2.604 2.744 -8.973" Properties=species:S:1:pos:R:3 pbc="T T T"
Cs 0.000 0.000 2.552
Cs 0.000 0.000 15.394
Mg 0.000 0.000 8.973
Br 2.604 0.000 0.000
Br 0.000 0.000 6.286
Br 0.000 0.000 11.660
Cl 0.000 2.744 0.000
```

Summary:
As for the symmetry: No. 71. As for the calculated total energy: -3.2002 eV/atom. For the total magnetic moment, the calculation gives 0.000 μB per cell.


An optimized crystal structure of Nd3S3F2. Source: Alexandria, functional PBE-GGA.

The structure in extended XYZ format:
```
8
Lattice="-1.880 2.008 10.759 1.880 -2.008 10.759 1.880 2.008 -10.759" Properties=species:S:1:pos:R:3 pbc="T T T"
Nd 0.000 0.000 0.000
Nd 1.880 0.000 7.019
Nd 0.000 2.008 3.739
S 1.880 0.000 2.732
S 0.000 0.000 10.759
S 0.000 2.008 8.026
F 0.000 0.000 5.369
F 0.000 0.000 16.149
```

Summary:
As for the symmetry: No. 71. As for the calculated total energy: -6.3809 eV/atom. For the total magnetic moment, the calculation gives 0.000 μB per cell.


The lowest calculated total energy belongs to which entry? Y3PtSe2


Repeat the first record exactly.
An optimized crystal structure of Ca2Pm3SmSe6. Source: Alexandria, functional PBE-GGA.

The structure in extended XYZ format:
```
12
Lattice="3.610 -6.264 0.000 3.610 6.264 0.000 -2.418 0.000 6.905" Properties=species:S:1:pos:R:3 pbc="T T T"
Ca 3.610 4.173 0.000
Ca 3.610 -4.173 0.000
Pm -1.209 0.000 3.453
Pm 2.401 2.108 3.453
Pm 2.401 -2.108 3.453
Sm 3.610 0.000 0.000
Se -0.017 2.102 5.220
Se 1.185 0.000 1.708
Se -0.017 -2.102 5.220
Se 4.820 2.102 1.685
Se 3.617 0.000 5.198
Se 4.820 -2.102 1.685
```

Summary:
As for the symmetry: No. 12. As for the calculated total energy: -5.5338 eV/atom. For the total magnetic moment, the calculation gives 0.000 μB per cell.


Which of these has the highest calculated total energy? Cs2MgBr3Cl